Record 1
A plane-wave DFT calculation with PBE-GGA was carried out for a geometry-optimized Sr3Cr structure.

Output
E_form in meV/atom: 502

Lattice parameters (Å, degrees): 6.948 6.948 6.948 90.00 90.00 90.00
Atoms (fractional coordinates):
Sr 0.000 0.250 0.500
Sr 0.000 0.750 0.500
Sr 0.250 0.500 0.000
Sr 0.500 0.000 0.250
Sr 0.500 0.000 0.750
Sr 0.750 0.500 0.000
Cr 0.000 0.000 0.000
Cr 0.500 0.500 0.500

***

Record 2
A plane-wave DFT calculation with PBE-GGA was carried out for a geometry-optimized Sc2ReSb structure.

Output
Formation energy from raw total energies in kcal/mol of atoms: -5.246

Lattice parameters (Å, degrees): 5.811 5.811 5.811 146.04 132.38 59.77
Atoms (fractional coordinates):
Sc 0.000 0.000 0.000
Sc 0.721 0.221 0.500
Re 0.220 0.720 0.500
Sb 0.437 0.437 0.000

***

Record 3
A plane-wave DFT calculation with PBE-GGA was carried out for a geometry-optimized Cs2YPbBr6 structure.

Output
Formation energy from raw total energies in kcal/mol of atoms: -34.597
Energy above the lowest structure with this stoichiometry in meV per atom: 39

Lattice parameters (Å, degrees): 8.764 8.764 8.764 123.90 123.90 83.37
Atoms (fractional coordinates):
Cs 0.250 0.750 0.500
Cs 0.750 0.250 0.500
Y 0.000 0.000 0.000
Pb 0.500 0.500 0.000
Br 0.214 0.214 0.000
Br 0.240 0.240 0.481
Br 0.240 0.760 0.000
Br 0.760 0.240 0.000
Br 0.760 0.760 0.519
Br 0.786 0.786 0.000